CaGaClF4 | PBE | relaxed

Results
Its energy is -67.840 eV/cell. As for the crystal system: monoclinic.

abc: 6.3652 6.3652 7.1579
angles: 105.02 105.02 71.08
Last column: nearest neighbours and their distance in Å.
Element x y z (fractional)
1 Ca 0.2073 0.2073 0.1229  4 F 2.33-2.40
2 Ca 0.7927 0.7927 0.8771  4 F 2.33-2.40
3 Ga 0.3687 0.3687 0.7337  4 F 1.78-1.82
4 Ga 0.6313 0.6313 0.2663  4 F 1.78-1.82
5 Cl 0.0149 0.0149 0.7624  2 Ca 2.68-2.71
6 Cl 0.9851 0.9851 0.2376  2 Ca 2.68-2.71
7 F 0.1135 0.4899 0.8377  1 Ga 1.82
8 F 0.3130 0.3130 0.4709  1 Ga 1.78
9 F 0.4482 0.4482 0.1761  1 Ga 1.80
10 F 0.4899 0.1135 0.8377  1 Ga 1.82
11 F 0.5101 0.8865 0.1623  1 Ga 1.82
12 F 0.5518 0.5518 0.8239  1 Ga 1.80
13 F 0.6870 0.6870 0.5291  1 Ga 1.78
14 F 0.8865 0.5101 0.1623  1 Ga 1.82